No. 1
# Cd6PdAu3 GGA-PBE optimized geometry
data_Cd6PdAu3
_symmetry_space_group_name_H-M 'P 1 21/m 1'
_symmetry_Int_Tables_number 11
_symmetry_space_group_name_Hall '-P 2yb'
_cell_length_a 8.073
_cell_length_b 4.790
_cell_length_c 10.887
_cell_angle_alpha 90.00
_cell_angle_beta 111.68
_cell_angle_gamma 90.00
loop_
_atom_site_label
_atom_site_type_symbol
_atom_site_fract_x
_atom_site_fract_y
_atom_site_fract_z
Cd1 Cd 0.006 0.250 0.335
Cd2 Cd 0.009 0.750 0.163
Cd3 Cd 0.219 0.250 0.139
Cd4 Cd 0.235 0.750 0.486
Cd5 Cd 0.396 0.250 0.925
Cd6 Cd 0.443 0.750 0.300
Pd1 Pd 0.385 0.250 0.421
Au1 Au 0.171 0.250 0.631
Au2 Au 0.201 0.750 0.972
Au3 Au 0.394 0.750 0.773
# Relative energy among the computed polymorphs = 0.000 eV/atom

No. 2
## Cd2Pd2Au7 (GGA-PBE)

Data for crystalline Cd2Pd2Au7 at its relaxed geometry.

```
data_Cd2Pd2Au7
_symmetry_space_group_name_H-M 'C 1 2/m 1'
_symmetry_Int_Tables_number 12
_symmetry_space_group_name_Hall '-C 2y'
_cell_length_a 9.603
_cell_length_b 9.526
_cell_length_c 5.062
_cell_angle_alpha 90.00
_cell_angle_beta 116.30
_cell_angle_gamma 90.00
loop_
_atom_site_label
_atom_site_type_symbol
_atom_site_fract_x
_atom_site_fract_y
_atom_site_fract_z
Cd1 Cd 0.000 0.180 0.000
Pd1 Pd 0.243 0.500 0.962
Au1 Au 0.000 0.000 0.500
Au2 Au 0.088 0.500 0.322
Au3 Au 0.171 0.247 0.674
```

Formation enthalpy at 0 K for every record listed, in sequence, given in eV/atom: -0.195, -0.080.
Total DFT energy (no corrections) for every record listed, in sequence, given in eV for the cell shown: -44.93, -72.09.